Er2HSe2 | PBE-GGA | optimized geometry

a b c (Å): 6.6045 6.6045 8.0260
angles (deg): 123.95 123.95 50.72
Fractional positions:
Er: 0.0781 0.0781 0.3419
Er: 0.3243 0.3243 0.9325
Er: 0.6757 0.6757 0.0675
Er: 0.9219 0.9219 0.6581
H: 0.1092 0.1092 0.6429
H: 0.8908 0.8908 0.3571
Se: 0.1773 0.1773 0.0907
Se: 0.4002 0.4002 0.6571
Se: 0.5998 0.5998 0.3429
Se: 0.8227 0.8227 0.9093

## Properties
Magnetic moment in μB per cell: 0.00
Crystal system: monoclinic
E in eV/cell: -53.27